Density functional theory data (GGA-PBE) for a geometry-optimized Cs2HfAgCl6 structure.

a b c (Å): 7.506 7.506 7.506
angles (deg): 60.00 60.00 60.00
Fractional positions:
Hf  0.000  0.000  0.000
Cl  0.237  0.763  0.763
Cl  0.763  0.237  0.763
Cs  0.250  0.250  0.250
Ag  0.500  0.500  0.500
Cs  0.750  0.750  0.750
Cl  0.763  0.763  0.237
Cl  0.237  0.763  0.237
Cl  0.237  0.237  0.763
Cl  0.763  0.237  0.237

Computed properties:
The value obtained for the total energy is -4.105 eV per atom.